# KMgRe2As

An optimized crystal structure of KMgRe2As (PBE, the Alexandria database).

Output
Its calculated total energy is -20.90 eV/f.u.

Structure (extended XYZ):
```
5
Lattice="4.8447 0.0000 0.0000 0.0000 4.8447 0.0000 0.0000 0.0000 5.1063" Properties=species:S:1:pos:R:3 pbc="T T T"
K 0.0000 0.0000 0.0000
Mg 0.0000 0.0000 2.5531
Re 0.0000 2.4223 2.5531
Re 2.4223 0.0000 2.5531
As 2.4223 2.4223 0.0000
```